Compound: Pr3CuRh8
Source: Alexandria via LeMat-Bulk
Functional: GGA-PBE
Structure: relaxed

a = 5.3791 Å, b = 5.3791 Å, c = 9.3186 Å
α = 73.22°, β = 73.22°, γ = 60.00°
Last column: nearest neighbours and their distance in Å.
Fractional positions:
Cu 0.1383 0.1383 0.5852  6 Rh 2.79-3.11
Pr 0.4927 0.4927 0.5220  12 Rh 3.00-3.22, 3 Cu 3.15
Pr 0.6230 0.6230 0.1311  12 Rh 3.15-3.19, 4 Pr 3.41-3.43
Pr 0.0098 0.0098 0.9707  9 Rh 3.02-3.22
Rh 0.0598 0.0598 0.3210  6 Rh 2.67-2.71, 1 Cu 2.79
Rh 0.5593 0.0598 0.3210  6 Rh 2.67-2.71, 1 Cu 2.79
Rh 0.3106 0.3106 0.0681  6 Rh 2.71-2.72
Rh 0.0615 0.5624 0.8137  6 Rh 2.65-2.72
Rh 0.5624 0.0615 0.8137  6 Rh 2.65-2.72
Rh 0.0598 0.5593 0.3210  6 Rh 2.67-2.71, 1 Cu 2.79
Rh 0.8104 0.8104 0.5687  6 Rh 2.65-2.67
Rh 0.5624 0.5624 0.8137  6 Rh 2.65-2.72

Results
* ρ: 9.88 g cm⁻³
* E_tot: -82.287 eV/f.u.
* N(E_F): 10.1 states/eV/cell
* DFT formation energy: -5.04 eV per formula unit
* V: 18.3 Å³ per atom
* magnetization: 0.0 μB/f.u.

Compound: Pr2Cu2SbRh5
Source: Alexandria via LeMat-Bulk
Functional: GGA-PBE
Structure: relaxed

a = 3.8518 Å, b = 9.5673 Å, c = 9.5673 Å
α = 90.00°, β = 90.00°, γ = 90.00°
Last column: nearest neighbours and their distance in Å.
Fractional positions:
Sb 0.0000 0.0000 0.0000  8 Rh 2.85
Sb 0.0000 0.5000 0.5000  8 Rh 2.85
Pr 0.0000 0.3252 0.8252  3 Cu 2.76-2.88, 2 Rh 3.05
Pr 0.0000 0.8252 0.6748  3 Cu 2.76-2.88, 2 Rh 3.05
Pr 0.0000 0.6748 0.1748  3 Cu 2.76-2.88, 2 Rh 3.05
Pr 0.0000 0.1748 0.3252  3 Cu 2.76-2.88, 2 Rh 3.05
Rh 0.5000 0.9325 0.2094  2 Cu 2.57, 2 Sb 2.85, 1 Rh 2.85
Rh 0.5000 0.2094 0.0675  2 Cu 2.57, 2 Sb 2.85, 1 Rh 2.85
Rh 0.5000 0.4325 0.2906  2 Cu 2.57, 2 Sb 2.85, 1 Rh 2.85
Rh 0.5000 0.7906 0.9325  2 Cu 2.57, 2 Sb 2.85, 1 Rh 2.85
Rh 0.5000 0.2906 0.5675  2 Cu 2.57, 2 Sb 2.85, 1 Rh 2.85
Rh 0.5000 0.5000 0.0000  4 Cu 2.53
Rh 0.5000 0.0000 0.5000  4 Cu 2.53
Rh 0.5000 0.5675 0.7094  2 Cu 2.57, 2 Sb 2.85, 1 Rh 2.85
Rh 0.5000 0.7094 0.4325  2 Cu 2.57, 2 Sb 2.85, 1 Rh 2.85
Rh 0.5000 0.0675 0.7906  2 Cu 2.57, 2 Sb 2.85, 1 Rh 2.85
Cu 0.0000 0.3784 0.1216  6 Rh 2.53-2.57, 1 Pr 2.76
Cu 0.0000 0.8784 0.3784  6 Rh 2.53-2.57, 1 Pr 2.76
Cu 0.0000 0.1216 0.6216  6 Rh 2.53-2.57, 1 Pr 2.76
Cu 0.0000 0.6216 0.8784  6 Rh 2.53-2.57, 1 Pr 2.76

Results
* ρ: 9.85 g cm⁻³
* E_tot: -63.445 eV/f.u.
* formation energy without anion corrections: -0.481 eV/atom
* N(E_F): 15.2 states/eV/cell
* V: 17.6 Å³ per atom
* magnetization: 0.0 μB/f.u.

Compound: PrScCuRh
Source: Alexandria via LeMat-Bulk
Functional: GGA-PBE
Structure: relaxed

a = 4.8644 Å, b = 4.8644 Å, c = 4.8644 Å
α = 60.00°, β = 60.00°, γ = 60.00°
Last column: nearest neighbours and their distance in Å.
Fractional positions:
Rh 0.0000 0.0000 0.0000  4 Pr 2.98, 4 Sc 2.98
Pr 0.7500 0.7500 0.7500  4 Rh 2.98, 4 Cu 2.98
Cu 0.5000 0.5000 0.5000  4 Pr 2.98, 4 Sc 2.98
Sc 0.2500 0.2500 0.2500  4 Cu 2.98, 4 Rh 2.98

Results
* ρ: 7.19 g cm⁻³
* E_tot: -24.253 eV/f.u.
* N(E_F): 3.9 states/eV/cell
* DFT formation energy: -1.69 eV per formula unit
* V: 20.3 Å³ per atom
* magnetization: 0.0 μB/f.u.

Compound: Pr2CuSi4Rh3
Source: Alexandria via LeMat-Bulk
Functional: GGA-PBE
Structure: relaxed

a = 4.2202 Å, b = 4.2202 Å, c = 9.8291 Å
α = 90.00°, β = 90.00°, γ = 90.00°
Last column: nearest neighbours and their distance in Å.
Fractional positions:
Rh 0.0000 0.5000 0.1239  5 Si 2.43-2.44
Rh 0.5000 0.0000 0.8761  5 Si 2.43-2.44
Rh 0.0000 0.0000 0.5000  4 Si 2.46
Si 0.0000 0.0000 0.0000  4 Rh 2.44
Si 0.5000 0.0000 0.6289  3 Rh 2.43-2.46, 2 Cu 2.46
Si 0.5000 0.5000 0.0000  4 Rh 2.44
Si 0.0000 0.5000 0.3711  3 Rh 2.43-2.46, 2 Cu 2.46
Pr 0.5000 0.0000 0.2467  8 Si 3.21-3.22, 6 Rh 3.22-3.26, 2 Cu 3.26
Pr 0.0000 0.5000 0.7533  8 Si 3.21-3.22, 6 Rh 3.22-3.26, 2 Cu 3.26
Cu 0.5000 0.5000 0.5000  4 Si 2.46

Results
* ρ: 7.27 g cm⁻³
* E_tot: -66.135 eV/f.u.
* formation energy without anion corrections: -0.873 eV/atom
* N(E_F): 6.9 states/eV/cell
* V: 17.5 Å³ per atom
* magnetization: 0.0 μB/f.u.

Compound: PrSmCuRh
Source: Alexandria via LeMat-Bulk
Functional: GGA-PBE
Structure: relaxed

a = 3.9260 Å, b = 4.4656 Å, c = 5.6825 Å
α = 90.00°, β = 110.21°, γ = 90.00°
Last column: nearest neighbours and their distance in Å.
Fractional positions:
Rh 0.4197 0.0000 0.8394  2 Cu 2.77, 3 Pr 2.97-3.07, 4 Sm 3.03
Sm 0.8651 0.5000 0.7301  3 Cu 2.97-3.11, 4 Rh 3.03
Cu 0.5738 0.5000 0.1477  2 Rh 2.77, 2 Sm 2.97, 4 Pr 3.06
Pr 0.1414 0.0000 0.2828  3 Rh 2.97-3.07, 4 Cu 3.06

Results
* ρ: 8.13 g cm⁻³
* E_tot: -22.835 eV/f.u.
* N(E_F): 2.9 states/eV/cell
* DFT formation energy: -1.89 eV per formula unit
* energy relative to the lowest polymorph listed for this composition: 0.0 kJ per mole of atoms
* V: 23.4 Å³ per atom
* magnetization: 0.0 μB/f.u.

Compound: PrSmCuRh
Source: Alexandria via LeMat-Bulk
Functional: GGA-PBE
Structure: relaxed

a = 5.0366 Å, b = 5.0366 Å, c = 5.0366 Å
α = 60.00°, β = 60.00°, γ = 60.00°
Last column: nearest neighbours and their distance in Å.
Fractional positions:
Rh 0.7500 0.7500 0.7500  4 Pr 3.08, 4 Sm 3.08
Sm 0.5000 0.5000 0.5000  4 Rh 3.08, 4 Cu 3.08
Pr 0.0000 0.0000 0.0000  4 Cu 3.08, 4 Rh 3.08
Cu 0.2500 0.2500 0.2500  4 Pr 3.08, 4 Sm 3.08

Results
* ρ: 8.41 g cm⁻³
* E_tot: -22.610 eV/f.u.
* N(E_F): 4.0 states/eV/cell
* DFT formation energy: -1.66 eV per formula unit
* energy relative to the lowest polymorph listed for this composition: 5.4 kJ per mole of atoms
* V: 22.6 Å³ per atom
* magnetization: 0.0 μB/f.u.

Compound: Pr2CuSn2Rh5
Source: Alexandria via LeMat-Bulk
Functional: GGA-PBE
Structure: relaxed

a = 3.6153 Å, b = 10.3575 Å, c = 10.3575 Å
α = 90.00°, β = 90.00°, γ = 90.00°
Last column: nearest neighbours and their distance in Å.
Fractional positions:
Cu 0.0000 0.5000 0.5000  8 Rh 2.76
Cu 0.0000 0.0000 0.0000  8 Rh 2.76
Rh 0.5000 0.9473 0.1941  2 Sn 2.68, 2 Cu 2.76, 2 Rh 2.95
Rh 0.5000 0.6941 0.4473  2 Sn 2.68, 2 Cu 2.76, 2 Rh 2.95
Rh 0.5000 0.5000 0.0000  4 Sn 2.64
Rh 0.5000 0.0527 0.8059  2 Sn 2.68, 2 Cu 2.76, 2 Rh 2.95
Rh 0.5000 0.4473 0.3059  2 Sn 2.68, 2 Cu 2.76, 2 Rh 2.95
Rh 0.5000 0.3059 0.5527  2 Sn 2.68, 2 Cu 2.76, 2 Rh 2.95
Rh 0.5000 0.1941 0.0527  2 Sn 2.68, 2 Cu 2.76, 2 Rh 2.95
Rh 0.5000 0.5527 0.6941  2 Sn 2.68, 2 Cu 2.76, 2 Rh 2.95
Rh 0.5000 0.0000 0.5000  4 Sn 2.64
Rh 0.5000 0.8059 0.9473  2 Sn 2.68, 2 Cu 2.76, 2 Rh 2.95
Sn 0.0000 0.8689 0.3689  6 Rh 2.64-2.68, 1 Pr 2.92
Sn 0.0000 0.6311 0.8689  6 Rh 2.64-2.68, 1 Pr 2.92
Sn 0.0000 0.1311 0.6311  6 Rh 2.64-2.68, 1 Pr 2.92
Sn 0.0000 0.3689 0.1311  6 Rh 2.64-2.68, 1 Pr 2.92
Pr 0.0000 0.3303 0.8303  3 Sn 2.92-3.14, 6 Rh 3.07-3.25
Pr 0.0000 0.1697 0.3303  3 Sn 2.92-3.14, 6 Rh 3.07-3.25
Pr 0.0000 0.8303 0.6697  3 Sn 2.92-3.14, 6 Rh 3.07-3.25
Pr 0.0000 0.6697 0.1697  3 Sn 2.92-3.14, 6 Rh 3.07-3.25

Results
* ρ: 9.40 g cm⁻³
* E_tot: -62.014 eV/f.u.
* N(E_F): 9.6 states/eV/cell
* DFT formation energy: -3.60 eV per formula unit
* V: 19.4 Å³ per atom
* magnetization: 0.0 μB/f.u.

Compound: Pr2Cu3Sn4Rh
Source: Alexandria via LeMat-Bulk
Functional: GGA-PBE
Structure: relaxed

a = 4.5213 Å, b = 4.5213 Å, c = 10.6433 Å
α = 90.00°, β = 90.00°, γ = 90.00°
Last column: nearest neighbours and their distance in Å.
Fractional positions:
Pr 0.0000 0.5000 0.7390  6 Cu 3.40-3.47, 2 Rh 3.40, 8 Sn 3.41-3.58
Pr 0.5000 0.0000 0.2610  2 Rh 3.40, 6 Cu 3.40-3.47, 8 Sn 3.41-3.58
Rh 0.5000 0.5000 0.5000  4 Sn 2.63
Sn 0.5000 0.5000 0.0000  4 Cu 2.67
Sn 0.5000 0.0000 0.6271  3 Cu 2.55-2.63, 2 Rh 2.63
Sn 0.0000 0.0000 0.0000  4 Cu 2.67
Sn 0.0000 0.5000 0.3729  3 Cu 2.55-2.63, 2 Rh 2.63
Cu 0.0000 0.5000 0.1336  5 Sn 2.55-2.67
Cu 0.5000 0.0000 0.8664  5 Sn 2.55-2.67
Cu 0.0000 0.0000 0.5000  4 Sn 2.63

Results
* ρ: 8.02 g cm⁻³
* E_tot: -49.998 eV/f.u.
* N(E_F): 4.3 states/eV/cell
* DFT formation energy: -4.79 eV per formula unit
* V: 21.8 Å³ per atom
* magnetization: 0.0 μB/f.u.

Compound: Pr2CuSn3Rh4
Source: Alexandria via LeMat-Bulk
Functional: GGA-PBE
Structure: relaxed

a = 4.3722 Å, b = 4.3722 Å, c = 11.0237 Å
α = 90.00°, β = 90.00°, γ = 90.00°
Last column: nearest neighbours and their distance in Å.
Fractional positions:
Pr 0.0000 0.5000 0.7428  8 Rh 3.32-3.58, 6 Sn 3.39-3.46, 2 Cu 3.46
Pr 0.5000 0.0000 0.2572  8 Rh 3.32-3.58, 6 Sn 3.39-3.46, 2 Cu 3.46
Rh 0.0000 0.0000 0.0000  4 Sn 2.62
Rh 0.5000 0.0000 0.6317  3 Sn 2.61-2.62, 2 Cu 2.62
Rh 0.5000 0.5000 0.0000  4 Sn 2.62
Rh 0.0000 0.5000 0.3683  3 Sn 2.61-2.62, 2 Cu 2.62
Cu 0.5000 0.5000 0.5000  4 Rh 2.62
Sn 0.5000 0.0000 0.8685  5 Rh 2.61-2.62
Sn 0.0000 0.5000 0.1315  5 Rh 2.61-2.62
Sn 0.0000 0.0000 0.5000  4 Rh 2.62

Results
* ρ: 8.77 g cm⁻³
* E_tot: -61.227 eV/f.u.
* N(E_F): 6.4 states/eV/cell
* DFT formation energy: -6.16 eV per formula unit
* V: 21.1 Å³ per atom
* magnetization: 0.0 μB/f.u.

Compound: SrPrCuRh
Source: Alexandria via LeMat-Bulk
Functional: GGA-PBE
Structure: relaxed

a = 5.1287 Å, b = 5.1287 Å, c = 5.1287 Å
α = 60.00°, β = 60.00°, γ = 60.00°
Last column: nearest neighbours and their distance in Å.
Fractional positions:
Cu 0.5000 0.5000 0.5000  4 Pr 3.14, 4 Sr 3.14
Sr 0.2500 0.2500 0.2500  4 Cu 3.14, 4 Rh 3.14
Rh 0.0000 0.0000 0.0000  4 Pr 3.14, 4 Sr 3.14
Pr 0.7500 0.7500 0.7500  4 Cu 3.14, 4 Rh 3.14

Results
* ρ: 6.88 g cm⁻³
* E_tot: -18.802 eV/f.u.
* N(E_F): 2.0 states/eV/cell
* DFT formation energy: -0.89 eV per formula unit
* V: 23.8 Å³ per atom
* magnetization: 0.0 μB/f.u.

Compound: TbPrCuRh
Source: Alexandria via LeMat-Bulk
Functional: GGA-PBE
Structure: relaxed

a = 3.8831 Å, b = 4.4363 Å, c = 5.6500 Å
α = 90.00°, β = 110.10°, γ = 90.00°
Last column: nearest neighbours and their distance in Å.
Fractional positions:
Tb 0.8658 0.5000 0.7315  3 Cu 2.93-3.11, 4 Rh 3.00
Pr 0.1428 0.0000 0.2856  3 Rh 2.93-3.07, 4 Cu 3.04
Rh 0.4185 0.0000 0.8370  2 Cu 2.76, 3 Pr 2.93-3.07, 4 Tb 3.00
Cu 0.5730 0.5000 0.1459  2 Rh 2.76, 2 Tb 2.93, 4 Pr 3.04

Results
* ρ: 8.47 g cm⁻³
* E_tot: -22.847 eV/f.u.
* N(E_F): 2.8 states/eV/cell
* DFT formation energy: -1.99 eV per formula unit
* energy relative to the lowest polymorph listed for this composition: 0.0 kJ per mole of atoms
* V: 22.9 Å³ per atom
* magnetization: 0.0 μB/f.u.

Compound: TbPrCuRh
Source: Alexandria via LeMat-Bulk
Functional: GGA-PBE
Structure: relaxed

a = 4.9971 Å, b = 4.9971 Å, c = 4.9971 Å
α = 60.00°, β = 60.00°, γ = 60.00°
Last column: nearest neighbours and their distance in Å.
Fractional positions:
Tb 0.5000 0.5000 0.5000  4 Rh 3.06, 4 Cu 3.06
Cu 0.2500 0.2500 0.2500  4 Tb 3.06, 4 Pr 3.06
Rh 0.7500 0.7500 0.7500  4 Tb 3.06, 4 Pr 3.06
Pr 0.0000 0.0000 0.0000  4 Cu 3.06, 4 Rh 3.06

Results
* ρ: 8.78 g cm⁻³
* E_tot: -22.658 eV/f.u.
* N(E_F): 3.5 states/eV/cell
* DFT formation energy: -1.80 eV per formula unit
* energy relative to the lowest polymorph listed for this composition: 4.6 kJ per mole of atoms
* V: 22.1 Å³ per atom
* magnetization: 0.0 μB/f.u.